An optimized crystal structure of CrTcPb2. Source: the Alexandria database, functional PBE.

- theoretical density (g cm⁻³) = 11.14
- ΔE to the lowest computed polymorph (meV per atom) = 471
- size of the total moment (μB/f.u.) = 2.243
- crystal system = monoclinic
- D(E_F) (states/eV/cell) = 2.977
- symmetry = No. 10

Cell: 3.250 4.455 5.840 Å, 90.00 95.75 90.00°
Positions (direct):
Cr 0.000 0.000 0.000
Tc 0.500 0.000 0.500
Pb 0.251 0.500 0.747
Pb 0.749 0.500 0.253